Record 1
# TeMoHI2

A relaxed TeMoHI2 crystal (PBE-GGA, the Alexandria database).

CIF file:
```
data_TeMoHI2
_chemical_formula_sum 'Te1 Mo1 H1 I2'
_cell_length_a 5.746
_cell_length_b 5.746
_cell_length_c 3.863
_cell_angle_alpha 90.00
_cell_angle_beta 90.00
_cell_angle_gamma 90.00
_space_group_name_H-M_alt 'P 4/m m m'
_space_group_IT_number 123
_space_group_name_Hall '-P 4 2'
loop_
_atom_site_label
_atom_site_type_symbol
_atom_site_fract_x
_atom_site_fract_y
_atom_site_fract_z
Te1 Te 0.000 0.000 0.000
Mo1 Mo 0.500 0.500 0.000
H1 H 0.000 0.000 0.500
I1 I 0.000 0.500 0.500
```

The mass density comes out at 6.23 g cm⁻³. The total energy comes out at -3.087 eV/atom. The value obtained for the size of the total moment is 3.9 Bohr magnetons per cell. The density of states at the Fermi level comes out at 4.77 states/eV/f.u.

Record 2
# VMoH2I

A relaxed VMoH2I crystal (PBE-GGA, the Alexandria database).

CIF file:
```
data_VMoH2I
_chemical_formula_sum 'V1 Mo1 H2 I1'
_cell_length_a 3.718
_cell_length_b 3.718
_cell_length_c 5.918
_cell_angle_alpha 90.00
_cell_angle_beta 90.00
_cell_angle_gamma 90.00
_space_group_name_H-M_alt 'P 4/m m m'
_space_group_IT_number 123
_space_group_name_Hall '-P 4 2'
loop_
_atom_site_label
_atom_site_type_symbol
_atom_site_fract_x
_atom_site_fract_y
_atom_site_fract_z
V1 V 0.000 0.000 0.000
Mo1 Mo 0.500 0.500 0.000
H1 H 0.000 0.500 0.500
I1 I 0.000 0.000 0.500
```

The mass density comes out at 5.60 g cm⁻³. The total energy comes out at -4.264 eV/atom. The value obtained for the size of the total moment is 0.7 Bohr magnetons per cell. The density of states at the Fermi level comes out at 4.01 states/eV/f.u.

Record 3
# NaHI2N

A relaxed NaHI2N crystal (PBE-GGA, the Alexandria database).

CIF file:
```
data_NaHI2N
_chemical_formula_sum 'Na1 H1 I2 N1'
_cell_length_a 6.183
_cell_length_b 6.183
_cell_length_c 3.071
_cell_angle_alpha 90.00
_cell_angle_beta 90.00
_cell_angle_gamma 90.00
_space_group_name_H-M_alt 'P 4/m m m'
_space_group_IT_number 123
_space_group_name_Hall '-P 4 2'
loop_
_atom_site_label
_atom_site_type_symbol
_atom_site_fract_x
_atom_site_fract_y
_atom_site_fract_z
Na1 Na 0.000 0.000 0.000
H1 H 0.500 0.500 0.500
I1 I 0.000 0.500 0.500
N1 N 0.500 0.500 0.000
```

The mass density comes out at 4.13 g cm⁻³. The total energy comes out at -2.620 eV/atom. The value obtained for the size of the total moment is 1.9 Bohr magnetons per cell. The density of states at the Fermi level comes out at 2.16 states/eV/f.u.

Record 4
# NaHI2N

A relaxed NaHI2N crystal (PBE-GGA, the Alexandria database).

CIF file:
```
data_NaHI2N
_chemical_formula_sum 'Na1 H1 I2 N1'
_cell_length_a 6.029
_cell_length_b 6.029
_cell_length_c 5.299
_cell_angle_alpha 90.00
_cell_angle_beta 90.00
_cell_angle_gamma 90.00
_space_group_name_H-M_alt 'P 4/m m m'
_space_group_IT_number 123
_space_group_name_Hall '-P 4 2'
loop_
_atom_site_label
_atom_site_type_symbol
_atom_site_fract_x
_atom_site_fract_y
_atom_site_fract_z
Na1 Na 0.000 0.000 0.000
H1 H 0.500 0.500 0.500
I1 I 0.000 0.500 0.000
N1 N 0.000 0.000 0.500
```

The mass density comes out at 2.52 g cm⁻³. The total energy comes out at -2.027 eV/atom. The value obtained for the size of the total moment is 5.1 Bohr magnetons per cell. The density of states at the Fermi level comes out at 3.48 states/eV/f.u.

Record 5
# NaH6IN2

A relaxed NaH6IN2 crystal (PBE-GGA, the Alexandria database).

CIF file:
```
data_NaH6IN2
_chemical_formula_sum 'Na4 H24 I4 N8'
_cell_length_a 11.542
_cell_length_b 8.071
_cell_length_c 7.046
_cell_angle_alpha 90.00
_cell_angle_beta 93.73
_cell_angle_gamma 90.00
_space_group_name_H-M_alt 'C 1 2/c 1'
_space_group_IT_number 15
_space_group_name_Hall '-C 2yc'
loop_
_atom_site_label
_atom_site_type_symbol
_atom_site_fract_x
_atom_site_fract_y
_atom_site_fract_z
Na1 Na 0.000 0.195 0.250
H1 H 0.135 0.499 0.211
H2 H 0.160 0.363 0.047
H3 H 0.244 0.368 0.243
I1 I 0.000 0.191 0.750
N1 N 0.160 0.379 0.191
```

The mass density comes out at 1.87 g cm⁻³. The total energy comes out at -4.521 eV/atom. The value obtained for the size of the total moment is 0.0 Bohr magnetons per cell. The density of states at the Fermi level comes out at 0.00 states/eV/f.u.

Record 6
# NaHIN2

A relaxed NaHIN2 crystal (PBE-GGA, the Alexandria database).

CIF file:
```
data_NaHIN2
_chemical_formula_sum 'Na1 H1 I1 N2'
_cell_length_a 4.357
_cell_length_b 4.357
_cell_length_c 3.729
_cell_angle_alpha 90.00
_cell_angle_beta 90.00
_cell_angle_gamma 90.00
_space_group_name_H-M_alt 'P 4/m m m'
_space_group_IT_number 123
_space_group_name_Hall '-P 4 2'
loop_
_atom_site_label
_atom_site_type_symbol
_atom_site_fract_x
_atom_site_fract_y
_atom_site_fract_z
Na1 Na 0.000 0.000 0.000
H1 H 0.500 0.500 0.500
I1 I 0.500 0.500 0.000
N1 N 0.000 0.500 0.500
```

The mass density comes out at 4.20 g cm⁻³. The total energy comes out at -2.753 eV/atom. The value obtained for the size of the total moment is 2.5 Bohr magnetons per cell. The density of states at the Fermi level comes out at 2.71 states/eV/f.u.

- Look up the mass density of the fourth one.
  2.52 g cm⁻³

- The lowest size of the total moment belongs to which entry?
  NaH6IN2